# CaPr2NpSb4 PBE-GGA relaxed
# energy: -5.962 eV per atom
# N(E_F): 11.7 states/eV per cell
# crystal system: monoclinic
# M_tot: 0.40 μB per atom
# formation energy (no corrections): -838 meV/atom
data_CaPr2NpSb4
_chemical_formula_sum 'Ca1 Pr2 Np1 Sb4'
_cell_length_a 7.7871
_cell_length_b 4.5112
_cell_length_c 7.8107
_cell_angle_alpha 90.00
_cell_angle_beta 109.19
_cell_angle_gamma 90.00
_space_group_name_H-M_alt 'P 1 2/m 1'
_space_group_IT_number 10
loop_
_space_group_symop_operation_xyz
'x,y,z'
'-x,-y,-z'
'-x,y,-z'
'x,-y,z'
loop_
_atom_site_label
_atom_site_type_symbol
_atom_site_fract_x
_atom_site_fract_y
_atom_site_fract_z
_atom_site_occupancy
Ca1 Ca 0.0000 0.0000 0.0000 1
Pr1 Pr 0.5000 0.0000 0.5000 1
Pr2 Pr 0.5000 0.5000 0.0000 1
Np1 Np 0.0000 0.5000 0.5000 1
Sb1 Sb 0.2401 0.0000 0.7412 1
Sb2 Sb 0.2425 0.5000 0.2555 1